KBaMoO4 (PBE with a Hubbard U, relaxed); symmetry = P2_1/m, No. 11; ρ = 3.23 g/cm3; energy = -88.11 eV/cell
1.0
6.872 0.000 1.332
0.000 6.265 0.000
-1.274 0.000 7.786
Ba O K Mo
2 8 2 2
direct
0.831 0.750 0.402
0.169 0.250 0.598
0.844 0.019 0.660
0.156 0.519 0.340
0.515 0.750 0.186
0.156 0.981 0.340
0.485 0.250 0.814
0.844 0.481 0.660
0.411 0.750 0.579
0.589 0.250 0.421
0.615 0.750 0.858
0.385 0.250 0.142
0.331 0.750 0.360
0.669 0.250 0.640